No. 1
This record from the Alexandria database describes a geometry-optimized CaSc structure. The functional is GGA-PBE.

```
CaSc
1.0
3.481 0.000 0.000
0.000 5.678 0.000
-0.013 0.000 6.363
Ca Sc
2 2
Direct
0.249 0.250 0.399
0.751 0.750 0.601
0.251 0.750 0.076
0.749 0.250 0.924
```

spin magnetization = 1.04 μB/f.u.
energy above the lowest structure with this stoichiometry = 109 meV per atom
energy relative to the elements = 0.227 eV/atom
space-group type = P2_1/m, No. 11

---

No. 2
This record from the Alexandria database describes a geometry-optimized CaSc2 structure. The functional is GGA-PBE.

```
CaSc2
1.0
0.000 4.509 4.509
4.509 0.000 4.509
4.509 4.509 0.000
Ca Sc
2 4
Direct
0.125 0.125 0.125
0.875 0.875 0.875
0.000 0.500 0.500
0.500 0.000 0.500
0.500 0.500 0.000
0.500 0.500 0.500
```

spin magnetization = 0.66 μB/f.u.
energy above the lowest structure with this stoichiometry = 123 meV per atom
energy relative to the elements = 0.221 eV/atom
space-group type = Fd-3m, No. 227

---

No. 3
This record from the Alexandria database describes a geometry-optimized CaSc2 structure. The functional is GGA-PBE.

```
CaSc2
1.0
6.394 -1.719 0.000
6.394 1.719 0.000
-2.169 0.000 7.845
Ca Sc
2 4
Direct
0.000 0.000 0.000
0.668 0.668 0.351
0.048 0.048 0.619
0.336 0.336 0.669
0.384 0.384 0.290
0.730 0.730 0.928
```

spin magnetization = 1.34 μB/f.u.
energy above the lowest structure with this stoichiometry = 90 meV per atom
energy relative to the elements = 0.188 eV/atom
space-group type = Cm, No. 8

---

No. 4
This record from the Alexandria database describes a geometry-optimized CaSc structure. The functional is GGA-PBE.

```
CaSc
1.0
6.426 0.000 0.000
0.000 6.426 0.000
0.000 0.000 6.391
Ca Sc
4 4
Direct
0.182 0.182 0.000
0.318 0.682 0.500
0.682 0.318 0.500
0.818 0.818 0.000
0.168 0.168 0.500
0.332 0.668 0.000
0.668 0.332 0.000
0.832 0.832 0.500
```

spin magnetization = 0.78 μB/f.u.
energy above the lowest structure with this stoichiometry = 499 meV per atom
energy relative to the elements = 0.617 eV/atom
space-group type = P4_2/mnm, No. 136

---

No. 5
This record from the Alexandria database describes a geometry-optimized CaSc2 structure. The functional is GGA-PBE.

```
CaSc2
1.0
5.476 0.000 0.000
-2.738 4.742 0.000
0.000 0.000 6.605
Ca Sc
2 4
Direct
0.333 0.667 0.250
0.667 0.333 0.750
0.000 0.000 0.000
0.000 0.000 0.500
0.333 0.667 0.750
0.667 0.333 0.250
```

spin magnetization = 1.55 μB/f.u.
energy above the lowest structure with this stoichiometry = 193 meV per atom
energy relative to the elements = 0.291 eV/atom
space-group type = P6_3/mmc, No. 194

---

No. 6
This record from the Alexandria database describes a geometry-optimized CaSc3 structure. The functional is GGA-PBE.

```
CaSc3
1.0
5.397 3.116 1.092
-5.397 3.116 1.092
0.000 -6.232 1.092
Ca Sc
1 3
Direct
0.000 0.000 0.000
0.000 0.500 0.500
0.500 0.000 0.500
0.500 0.500 0.000
```

spin magnetization = 1.01 μB/f.u.
energy relative to the elements = 0.239 eV/atom
space-group type = R-3m, No. 166

---

No. 7
This record from the Alexandria database describes a geometry-optimized CaSc3 structure. The functional is GGA-PBE.

```
CaSc3
1.0
3.390 -4.869 0.000
3.390 4.869 0.000
0.000 0.000 3.363
Ca Sc
1 3
Direct
0.000 0.000 0.000
0.000 0.500 0.500
0.500 0.000 0.500
0.500 0.500 0.000
```

spin magnetization = 2.14 μB/f.u.
energy relative to the elements = 0.224 eV/atom
space-group type = Cmmm, No. 65

---

No. 8
This record from the Alexandria database describes a geometry-optimized CaSc3 structure. The functional is GGA-PBE.

```
CaSc3
1.0
5.482 0.000 0.000
0.000 6.819 0.000
0.000 0.000 5.926
Ca Sc
2 6
Direct
0.250 0.250 0.161
0.750 0.750 0.839
0.250 0.502 0.657
0.250 0.750 0.181
0.250 0.998 0.657
0.750 0.002 0.343
0.750 0.250 0.819
0.750 0.498 0.343
```

spin magnetization = 2.29 μB/f.u.
energy relative to the elements = 0.178 eV/atom
space-group type = Pmmn, No. 59

---

No. 9
This record from the Alexandria database describes a geometry-optimized CaSc2 structure. The functional is GGA-PBE.

```
CaSc2
1.0
6.036 -1.767 0.000
6.036 1.767 0.000
-2.764 0.000 8.194
Ca Sc
2 4
Direct
0.147 0.147 0.067
0.853 0.853 0.933
0.190 0.190 0.598
0.493 0.493 0.677
0.507 0.507 0.323
0.810 0.810 0.402
```

spin magnetization = 0.00 μB/f.u.
energy above the lowest structure with this stoichiometry = 29 meV per atom
energy relative to the elements = 0.127 eV/atom
space-group type = C2/m, No. 12

---

No. 10
This record from the Alexandria database describes a geometry-optimized CaSc structure. The functional is GGA-PBE.

```
CaSc
1.0
0.000 3.968 3.968
3.968 0.000 3.968
3.968 3.968 0.000
Ca Sc
2 2
Direct
0.125 0.125 0.125
0.875 0.875 0.875
0.375 0.375 0.375
0.625 0.625 0.625
```

spin magnetization = 0.61 μB/f.u.
energy above the lowest structure with this stoichiometry = 149 meV per atom
energy relative to the elements = 0.267 eV/atom
space-group type = Fd-3m, No. 227

---

No. 11
This record from the Alexandria database describes a geometry-optimized CaSc2 structure. The functional is GGA-PBE.

```
CaSc2
1.0
3.450 0.000 0.000
1.724 2.989 0.000
0.023 0.028 16.792
Ca Sc
2 4
Direct
0.168 0.171 0.100
0.832 0.829 0.900
0.166 0.164 0.724
0.167 0.168 0.425
0.833 0.832 0.575
0.834 0.836 0.276
```

spin magnetization = 0.59 μB/f.u.
energy above the lowest structure with this stoichiometry = 13 meV per atom
energy relative to the elements = 0.111 eV/atom
space-group type = P-1, No. 2

---

No. 12
This record from the Alexandria database describes a geometry-optimized CaSc structure. The functional is GGA-PBE.

```
CaSc
1.0
3.514 0.000 0.000
-1.757 3.043 0.000
0.000 0.000 5.851
Ca Sc
1 1
Direct
0.000 0.000 0.000
0.333 0.667 0.500
```

spin magnetization = 0.94 μB/f.u.
energy above the lowest structure with this stoichiometry = 124 meV per atom
energy relative to the elements = 0.242 eV/atom
space-group type = P-6m2, No. 187

---

No. 13
This record from the Alexandria database describes a geometry-optimized CaSc3 structure. The functional is GGA-PBE.

```
CaSc3
1.0
3.371 0.000 0.000
0.000 5.466 0.000
0.000 0.000 5.996
Ca Sc
1 3
Direct
0.000 0.000 0.000
0.000 0.500 0.338
0.500 0.000 0.501
0.500 0.500 0.808
```

spin magnetization = 2.14 μB/f.u.
energy relative to the elements = 0.172 eV/atom
space-group type = Pmm2, No. 25

---

No. 14
This record from the Alexandria database describes a geometry-optimized CaSc2 structure. The functional is GGA-PBE.

```
CaSc2
1.0
7.050 0.000 0.000
0.000 7.050 0.000
0.000 0.000 7.050
Ca Sc
4 8
Direct
0.000 0.000 0.000
0.000 0.500 0.500
0.500 0.000 0.500
0.500 0.500 0.000
0.134 0.634 0.866
0.134 0.866 0.366
0.366 0.134 0.866
0.366 0.366 0.366
0.634 0.634 0.634
0.634 0.866 0.134
0.866 0.134 0.634
0.866 0.366 0.134
```

spin magnetization = 0.00 μB/f.u.
energy above the lowest structure with this stoichiometry = 901 meV per atom
energy relative to the elements = 0.999 eV/atom
space-group type = Pa-3, No. 205

---

No. 15
This record from the Alexandria database describes a geometry-optimized Ca6Sc7 structure. The functional is GGA-PBE.

```
Ca6Sc7
1.0
3.181 1.837 11.968
-3.181 1.837 11.968
0.000 -3.674 11.968
Ca Sc
6 7
Direct
0.049 0.049 0.049
0.150 0.150 0.150
0.333 0.333 0.333
0.667 0.667 0.667
0.850 0.850 0.850
0.951 0.951 0.951
0.097 0.591 0.591
0.409 0.409 0.903
0.409 0.903 0.409
0.500 0.500 0.500
0.591 0.097 0.591
0.591 0.591 0.097
0.903 0.409 0.409
```

spin magnetization = 0.00 μB/f.u.
energy relative to the elements = 0.188 eV/atom
space-group type = R-3m, No. 166

---

No. 16
This record from the Alexandria database describes a geometry-optimized Ca5Sc structure. The functional is GGA-PBE.

```
Ca5Sc
1.0
7.007 -1.902 0.000
7.007 1.902 0.000
-2.570 0.000 8.613
Ca Sc
5 1
Direct
0.000 0.000 0.000
0.041 0.041 0.615
0.315 0.315 0.691
0.369 0.369 0.250
0.659 0.659 0.335
0.704 0.704 0.937
```

spin magnetization = 1.73 μB/f.u.
energy above the lowest structure with this stoichiometry = 0 meV per atom
energy relative to the elements = 0.120 eV/atom
space-group type = Cm, No. 8

---

No. 17
This record from the Alexandria database describes a geometry-optimized CaSc7 structure. The functional is GGA-PBE.

```
CaSc7
1.0
0.000 4.695 4.695
4.695 0.000 4.695
4.695 4.695 0.000
Ca Sc
1 7
Direct
0.000 0.000 0.000
0.000 0.000 0.500
0.000 0.500 0.000
0.000 0.500 0.500
0.500 0.000 0.000
0.500 0.000 0.500
0.500 0.500 0.000
0.500 0.500 0.500
```

spin magnetization = 0.00 μB/f.u.
energy relative to the elements = 0.154 eV/atom
space-group type = Fm-3m, No. 225

---

No. 18
This record from the Alexandria database describes a geometry-optimized CaSc structure. The functional is GGA-PBE.

```
CaSc
1.0
1.764 1.018 11.767
-1.764 1.018 11.767
0.000 -2.037 11.767
Ca Sc
2 2
Direct
0.119 0.119 0.119
0.881 0.881 0.881
0.368 0.368 0.368
0.632 0.632 0.632
```

spin magnetization = 0.26 μB/f.u.
energy above the lowest structure with this stoichiometry = 51 meV per atom
energy relative to the elements = 0.170 eV/atom
space-group type = R-3m, No. 166

---

No. 19
This record from the Alexandria database describes a geometry-optimized Ca3Sc structure. The functional is GGA-PBE.

```
Ca3Sc
1.0
3.702 0.000 0.000
-1.851 3.206 0.000
0.000 0.000 12.253
Ca Sc
3 1
Direct
0.000 0.000 0.000
0.333 0.667 0.269
0.333 0.667 0.731
0.000 0.000 0.500
```

spin magnetization = 1.39 μB/f.u.
energy above the lowest structure with this stoichiometry = 2 meV per atom
energy relative to the elements = 0.147 eV/atom
space-group type = P-6m2, No. 187

---

No. 20
This record from the Alexandria database describes a geometry-optimized CaSc structure. The functional is GGA-PBE.

```
CaSc
1.0
-6.330 6.330 1.653
6.330 -6.330 1.653
6.330 6.330 -1.653
Ca Sc
4 4
Direct
0.119 0.334 0.453
0.334 0.881 0.216
0.666 0.119 0.784
0.881 0.666 0.547
0.070 0.850 0.920
0.150 0.070 0.219
0.850 0.930 0.781
0.930 0.150 0.080
```

spin magnetization = 0.60 μB/f.u.
energy above the lowest structure with this stoichiometry = 310 meV per atom
energy relative to the elements = 0.428 eV/atom
space-group type = I4/m, No. 87

---

No. 21
This record from the Alexandria database describes a geometry-optimized CaSc structure. The functional is GGA-PBE.

```
CaSc
1.0
11.775 0.000 0.000
-5.888 10.198 0.000
0.000 0.000 3.354
Ca Sc
6 6
Direct
0.064 0.761 0.250
0.239 0.303 0.250
0.303 0.064 0.750
0.697 0.936 0.250
0.761 0.697 0.750
0.936 0.239 0.750
0.146 0.537 0.250
0.391 0.854 0.250
0.463 0.609 0.250
0.537 0.391 0.750
0.609 0.146 0.750
0.854 0.463 0.750
```

spin magnetization = 0.61 μB/f.u.
energy above the lowest structure with this stoichiometry = 285 meV per atom
energy relative to the elements = 0.403 eV/atom
space-group type = P6_3/m, No. 176

---

No. 22
This record from the Alexandria database describes a geometry-optimized Ca3Sc structure. The functional is GGA-PBE.

```
Ca3Sc
1.0
0.000 4.153 4.153
4.153 0.000 4.153
4.153 4.153 0.000
Ca Sc
3 1
Direct
0.000 0.000 0.000
0.250 0.250 0.250
0.750 0.750 0.750
0.500 0.500 0.500
```

spin magnetization = 0.00 μB/f.u.
energy above the lowest structure with this stoichiometry = 53 meV per atom
energy relative to the elements = 0.198 eV/atom
space-group type = Fm-3m, No. 225

---

No. 23
This record from the Alexandria database describes a geometry-optimized CaSc structure. The functional is GGA-PBE.

```
CaSc
1.0
5.723 0.000 0.000
-2.861 4.956 0.000
0.000 0.000 9.349
Ca Sc
4 4
Direct
0.000 0.000 0.250
0.000 0.000 0.750
0.333 0.667 0.250
0.667 0.333 0.750
0.333 0.667 0.590
0.333 0.667 0.910
0.667 0.333 0.090
0.667 0.333 0.410
```

spin magnetization = 0.01 μB/f.u.
energy above the lowest structure with this stoichiometry = 344 meV per atom
energy relative to the elements = 0.462 eV/atom
space-group type = P6_3/mmc, No. 194

---

No. 24
This record from the Alexandria database describes a geometry-optimized Ca3Sc structure. The functional is GGA-PBE.

```
Ca3Sc
1.0
3.451 0.000 0.000
0.000 3.629 0.000
0.000 0.000 11.752
Ca Sc
3 1
Direct
0.000 0.000 0.000
0.000 0.500 0.281
0.500 0.500 0.745
0.500 0.000 0.497
```

spin magnetization = 0.55 μB/f.u.
energy above the lowest structure with this stoichiometry = 135 meV per atom
energy relative to the elements = 0.280 eV/atom
space-group type = Pmm2, No. 25

---

No. 25
This record from the Alexandria database describes a geometry-optimized CaSc2 structure. The functional is GGA-PBE.

```
CaSc2
1.0
3.428 0.000 0.000
-1.714 2.969 0.000
0.000 0.000 8.557
Ca Sc
1 2
Direct
0.000 0.000 0.000
0.333 0.667 0.645
0.667 0.333 0.355
```

spin magnetization = 0.92 μB/f.u.
energy above the lowest structure with this stoichiometry = 78 meV per atom
energy relative to the elements = 0.176 eV/atom
space-group type = P-3m1, No. 164

---

No. 26
This record from the Alexandria database describes a geometry-optimized Ca3Sc structure. The functional is GGA-PBE.

```
Ca3Sc
1.0
-1.956 3.043 6.069
1.956 -3.043 6.069
1.956 3.043 -6.069
Ca Sc
3 1
Direct
0.000 0.000 0.000
0.264 0.764 0.500
0.736 0.236 0.500
0.500 0.500 0.000
```

spin magnetization = 1.00 μB/f.u.
energy above the lowest structure with this stoichiometry = 37 meV per atom
energy relative to the elements = 0.182 eV/atom
space-group type = Immm, No. 71